# 1
An optimized crystal structure of Si2PCl, computed with PBE.

abc: 3.514 4.156 7.067
angles: 69.50 90.00 90.00
Atoms (fractional coordinates):
1 Cl 0.000 0.438 0.585
2 P 0.500 0.748 0.897
3 Si 0.000 0.106 0.887
4 Si 0.500 0.208 0.131

Values from the calculation:
**Formation energy without anion corrections**: 0.10 eV per formula unit
**Relative energy among the computed polymorphs**: 4 meV/atom

***

# 2
An optimized crystal structure of Fe3CoSn, computed with PBE.

abc: 4.497 4.497 4.497
angles: 90.00 90.00 90.00
Last column: magnetic moment on the atom in μB.
Atoms (fractional coordinates):
1 Co 0.000 0.000 0.000  1.59
2 Sn 0.500 0.500 0.500  -0.05
3 Fe 0.000 0.500 0.000  3.02
4 Fe 0.000 0.000 0.500  3.29
5 Fe 0.500 0.000 0.000  2.62

Values from the calculation:
**ΔH_f (0 K)**: 754 meV per atom
**Relative energy among the computed polymorphs**: 0 meV/atom